Record 1
DFT (GGA-PBE) results for Cs6Tl2O after structural relaxation.

Computed properties:
energy relative to the elements, uncorrected = -34.2 kJ/mol of atoms

Cell and atoms, written as extended XYZ:
```
9
Lattice="4.515 2.607 8.434 -4.515 2.607 8.434 0.000 -5.214 8.434" Properties=species:S:1:pos:R:3 pbc="T T T"
Cs -2.286 -0.607 8.434
Cs -1.429 -3.326 13.333
Cs 1.669 -1.677 8.434
Cs -2.166 2.901 13.333
Cs 0.618 2.283 8.434
Cs 3.595 0.425 13.333
Tl 0.000 0.000 1.634
Tl 0.000 0.000 24.066
O 0.000 0.000 6.743
```

***

Record 2
DFT (GGA-PBE) results for CsTlO2 after structural relaxation.

Computed properties:
energy relative to the elements, uncorrected = -85.0 kJ/mol of atoms

Cell and atoms, written as extended XYZ:
```
8
Lattice="-2.991 2.991 5.015 2.991 -2.991 5.015 2.991 2.991 -5.015" Properties=species:S:1:pos:R:3 pbc="T T T"
Cs 2.991 1.495 1.254
Cs 0.000 1.495 3.761
Tl 2.991 -1.495 3.761
Tl 0.000 4.486 1.254
O 2.991 1.495 -1.758
O 0.000 1.495 0.749
O 2.991 1.495 4.266
O 0.000 1.495 6.774
```

***

Record 3
DFT (GGA-PBE) results for Cs4Tl2O after structural relaxation.

Computed properties:
relative energy among the computed polymorphs = 302 meV/atom
energy relative to the elements, uncorrected = -18.1 kJ/mol of atoms

Cell and atoms, written as extended XYZ:
```
7
Lattice="-3.128 3.128 15.539 3.128 -3.128 15.539 3.128 3.128 -15.539" Properties=species:S:1:pos:R:3 pbc="T T T"
Cs 3.128 0.000 0.000
Cs 0.000 0.000 6.065
Cs 0.000 3.128 0.000
Cs 0.000 0.000 25.012
Tl 0.000 0.000 2.298
Tl 0.000 0.000 28.780
O 0.000 0.000 0.000
```

***

Record 4
DFT (GGA-PBE) results for CsTlO2 after structural relaxation.

Computed properties:
energy relative to the elements, uncorrected = -86.0 kJ/mol of atoms

Cell and atoms, written as extended XYZ:
```
16
Lattice="6.935 0.000 0.000 0.000 3.492 0.000 0.000 0.000 15.264" Properties=species:S:1:pos:R:3 pbc="T T T"
Cs 0.610 0.873 2.102
Cs 2.858 2.619 9.734
Cs 4.078 0.873 5.530
Cs 6.325 2.619 13.161
Tl 0.552 2.619 6.304
Tl 2.916 0.873 13.935
Tl 4.019 2.619 1.328
Tl 6.384 0.873 8.960
O 0.290 0.873 4.955
O 1.389 0.873 7.684
O 2.078 2.619 0.052
O 3.178 2.619 12.587
O 3.758 0.873 2.677
O 4.857 0.873 15.212
O 5.546 2.619 7.580
O 6.646 2.619 10.308
```